1.
Here is an optimized crystal structure of TbPd2Pb from Alexandria. Energies are from GGA-PBE.

Output
Mass density ... 11.2 g/cm³
Spin magnetization ... 0.000 μB/f.u.
E_form ... -0.6100 eV per atom

Structure (CIF):
```
data_TbPd2Pb
_space_group_name_H-M_alt 'P 4/m m m'
_space_group_IT_number 123
_space_group_name_Hall '-P 4 2'
_cell_length_a 3.598
_cell_length_b 3.598
_cell_length_c 6.641
_cell_angle_alpha 90.00
_cell_angle_beta 90.00
_cell_angle_gamma 90.00
loop_
_atom_site_label
_atom_site_type_symbol
_atom_site_fract_x
_atom_site_fract_y
_atom_site_fract_z
Tb1 Tb 0.000 0.000 0.000
Pd1 Pd 0.500 0.500 0.231
Pb1 Pb 0.000 0.000 0.500
```

***

2.
Here is an optimized crystal structure of TbPdPb2 from Alexandria. Energies are from GGA-PBE.

Output
Mass density ... 11.6 g/cm³
Spin magnetization ... 0.000 μB/f.u.
E_form ... -0.3943 eV per atom

Structure (CIF):
```
data_TbPdPb2
_space_group_name_H-M_alt 'P 4/m m m'
_space_group_IT_number 123
_space_group_name_Hall '-P 4 2'
_cell_length_a 4.645
_cell_length_b 4.645
_cell_length_c 4.511
_cell_angle_alpha 90.00
_cell_angle_beta 90.00
_cell_angle_gamma 90.00
loop_
_atom_site_label
_atom_site_type_symbol
_atom_site_fract_x
_atom_site_fract_y
_atom_site_fract_z
Tb1 Tb 0.000 0.000 0.000
Pd1 Pd 0.500 0.500 0.000
Pb1 Pb 0.000 0.500 0.500
```

***

3.
Here is an optimized crystal structure of Tb2Pd6Pb from Alexandria. Energies are from GGA-PBE.

Output
Mass density ... 9.9 g/cm³
Spin magnetization ... 0.000 μB/f.u.
E_form ... -0.4514 eV per atom

Structure (CIF):
```
data_Tb2Pd6Pb
_space_group_name_H-M_alt 'C 1 2/m 1'
_space_group_IT_number 12
_space_group_name_Hall '-C 2y'
_cell_length_a 13.020
_cell_length_b 8.294
_cell_length_c 3.760
_cell_angle_alpha 90.00
_cell_angle_beta 106.71
_cell_angle_gamma 90.00
loop_
_atom_site_label
_atom_site_type_symbol
_atom_site_fract_x
_atom_site_fract_y
_atom_site_fract_z
Tb1 Tb 0.161 0.000 0.161
Pd1 Pd 0.000 0.249 0.000
Pd2 Pd 0.166 0.262 0.666
Pb1 Pb 0.000 0.500 0.500
```